No. 1
Computed, not measured: a relaxed structure of Ho8Mg2Tc at the PBE-GGA level of DFT.

For the energy of formation, the calculation gives -0.0112 eV per atom.

a b c (Å): 17.3122 5.4942 6.9977
angles (deg): 90.00 111.00 90.00
Last column: nearest neighbours and their distance in Å.
Space group C2/m (No. 12)
One atom of each set of equivalent atoms:
Ho: 0.0140 0.0000 0.2775 x4  2 Tc 3.21, 1 Mg 3.26, 7 Ho 3.32-3.56
Ho: 0.1050 0.5000 0.9002 x4  1 Tc 2.74
Ho: 0.1421 0.5000 0.4175 x4  1 Tc 2.72
Ho: 0.1902 0.0000 0.7384 x4  3 Mg 3.19-3.40, 8 Ho 3.45-3.56
Mg: 0.1871 0.0000 0.1911 x4  9 Ho 3.19-3.41
Tc: 0.0000 0.5000 0.5000 x2  4 Ho 2.72-2.74

***

No. 2
Computed, not measured: a relaxed structure of PrSm7Er4 at the PBE-GGA level of DFT.

The energy above the most stable polymorph in this dataset comes out at 0.194 eV per atom. For the energy of formation, the calculation gives 0.2111 eV per atom.

a b c (Å): 16.0515 5.9646 9.4222
angles (deg): 90.00 116.76 90.00
Last column: nearest neighbours and their distance in Å.
Space group C2/m (No. 12)
One atom of each set of equivalent atoms:
Pr: 0.0000 0.0000 0.0000 x2  4 Sm 2.98-3.15
Sm: 0.0000 0.5000 0.0000 x2  2 Pr 2.98
Sm: 0.0866 0.0000 0.4531 x4  3 Sm 3.27-3.64, 3 Er 3.45-3.51
Sm: 0.2138 0.0000 0.2416 x4  1 Pr 3.15, 4 Er 3.19-3.46, 2 Sm 3.38-3.44
Sm: 0.2162 0.0000 0.8851 x4  6 Sm 3.38-3.64, 3 Er 3.71-3.72
Er: 0.0708 0.5000 0.6982 x4  2 Sm 3.24-3.50, 2 Er 3.39-3.58
Er: 0.1692 0.5000 0.3811 x4  7 Sm 3.19-3.51

***

No. 3
Computed, not measured: a relaxed structure of CeH3Ru at the PBE-GGA level of DFT.

For the energy, the calculation gives -27.24 eV per cell.

a b c (Å): 3.7145 3.7145 3.7145
angles (deg): 90.00 90.00 90.00
Last column: nearest neighbours and their distance in Å.
Space group Pm-3m (No. 221)
One atom of each set of equivalent atoms:
Ce: 0.0000 0.0000 0.0000 x1  12 H 2.63
H: 0.0000 0.5000 0.5000 x3  2 Ru 1.86
Ru: 0.5000 0.5000 0.5000 x1  6 H 1.86

***

Number 1: total magnetic moment 0.00 μB per cell. Number 2: total magnetic moment 0.02 μB per cell. Number 3: total magnetic moment 0.74 μB per cell.